Record 1
First-principles (PBE-GGA) data for RbAg2Pt2 after structural relaxation, as listed in Alexandria via LeMat-Bulk.

Unit cell a=8.458 b=8.458 c=2.875 alpha=90.00 beta=90.00 gamma=90.00
Sites, in units of the cell vectors:
1 Rb 0.000 0.000 0.000
2 Rb 0.500 0.500 0.000
3 Ag 0.176 0.324 0.500
4 Ag 0.324 0.824 0.500
5 Ag 0.676 0.176 0.500
6 Ag 0.824 0.676 0.500
7 Pt 0.116 0.616 0.000
8 Pt 0.384 0.116 0.000
9 Pt 0.616 0.884 0.000
10 Pt 0.884 0.384 0.000

Properties
Its crystal system is tetragonal. The energy above the most stable polymorph in this dataset comes out at 0 meV per atom. The total energy comes out at -36.26 eV for the cell shown. As for the space group: No. 127. Its energy of formation from the pure elements is 0.12 eV per atom.



Record 2
First-principles (PBE-GGA) data for CeDy12Tm5 after structural relaxation, as listed in Alexandria via LeMat-Bulk.

Unit cell a=6.125 b=6.125 c=17.264 alpha=93.39 beta=93.39 gamma=119.96
Sites, in units of the cell vectors:
1 Ce 0.000 0.000 0.000
2 Dy 0.056 0.389 0.166
3 Dy 0.112 0.112 0.334
4 Dy 0.221 0.554 0.667
5 Dy 0.276 0.276 0.834
6 Dy 0.389 0.056 0.166
7 Dy 0.446 0.779 0.333
8 Dy 0.554 0.221 0.667
9 Dy 0.611 0.944 0.834
10 Dy 0.724 0.724 0.166
11 Dy 0.779 0.446 0.333
12 Dy 0.888 0.888 0.666
13 Dy 0.944 0.611 0.834
14 Tm 0.166 0.834 0.500
15 Tm 0.333 0.667 0.000
16 Tm 0.500 0.500 0.500
17 Tm 0.667 0.333 0.000
18 Tm 0.834 0.166 0.500

Properties
Its crystal system is monoclinic. The total energy comes out at -83.18 eV for the cell shown. As for the space group: No. 12. Its energy of formation from the pure elements is 0.02 eV per atom.



Record 3
First-principles (PBE-GGA) data for ZrP2Os after structural relaxation, as listed in Alexandria via LeMat-Bulk.

Unit cell a=4.493 b=4.493 c=4.493 alpha=60.00 beta=60.00 gamma=60.00
Sites, in units of the cell vectors:
1 Zr 0.000 0.000 0.000
2 P 0.250 0.250 0.250
3 P 0.500 0.500 0.500
4 Os 0.750 0.750 0.750

Properties
Its crystal system is cubic. The energy above the most stable polymorph in this dataset comes out at 798 meV per atom. The total energy comes out at -29.95 eV for the cell shown. As for the space group: No. 216. Its energy of formation from the pure elements is 0.16 eV per atom.



Record 4
First-principles (PBE-GGA) data for Ca2YAlH after structural relaxation, as listed in Alexandria via LeMat-Bulk.

Unit cell a=4.812 b=4.812 c=4.992 alpha=90.00 beta=90.00 gamma=90.00
Sites, in units of the cell vectors:
1 Ca 0.000 0.500 0.000
2 Ca 0.500 0.000 0.000
3 Y 0.000 0.000 0.500
4 Al 0.500 0.500 0.500
5 H 0.000 0.000 0.000

Properties
Its crystal system is tetragonal. The total energy comes out at -18.57 eV for the cell shown. As for the space group: No. 123.



Record 5
First-principles (PBE-GGA) data for ZnHg2Mo after structural relaxation, as listed in Alexandria via LeMat-Bulk.

Unit cell a=5.744 b=5.744 c=5.744 alpha=150.13 beta=127.26 gamma=61.80
Sites, in units of the cell vectors:
1 Zn 0.000 0.000 0.000
2 Hg 0.242 0.742 0.500
3 Hg 0.758 0.258 0.500
4 Mo 0.500 0.500 0.000

Properties
Its crystal system is orthorhombic. The total energy comes out at -10.45 eV for the cell shown. As for the space group: No. 71. Its energy of formation from the pure elements is 0.57 eV per atom.



Record 6
First-principles (PBE-GGA) data for K2BaZn2Se4 after structural relaxation, as listed in Alexandria via LeMat-Bulk.

Unit cell a=8.890 b=8.890 c=8.929 alpha=117.87 beta=117.87 gamma=27.95
Sites, in units of the cell vectors:
1 K 0.117 0.117 0.082
2 K 0.883 0.883 0.918
3 Ba 0.000 0.000 0.500
4 Zn 0.329 0.329 0.537
5 Zn 0.671 0.671 0.463
6 Se 0.219 0.219 0.653
7 Se 0.483 0.483 0.756
8 Se 0.517 0.517 0.244
9 Se 0.781 0.781 0.347

Properties
Its crystal system is monoclinic. As for the uncorrected formation energy: -1.17 eV per atom. The total energy comes out at -31.12 eV for the cell shown. As for the space group: No. 12.



Record 7
First-principles (PBE-GGA) data for PrThTcAg after structural relaxation, as listed in Alexandria via LeMat-Bulk.

Unit cell a=5.163 b=5.163 c=5.163 alpha=60.00 beta=60.00 gamma=60.00
Sites, in units of the cell vectors:
1 Pr 0.000 0.000 0.000
2 Th 0.500 0.500 0.500
3 Tc 0.750 0.750 0.750
4 Ag 0.250 0.250 0.250

Properties
Its crystal system is cubic. The total energy comes out at -25.44 eV for the cell shown. As for the space group: No. 216. Its energy of formation from the pure elements is -0.01 eV per atom.



Record 8
First-principles (PBE-GGA) data for CsCeAlO4 after structural relaxation, as listed in Alexandria via LeMat-Bulk.

Unit cell a=5.799 b=5.963 c=8.185 alpha=90.00 beta=109.57 gamma=90.00
Sites, in units of the cell vectors:
1 Cs 0.189 0.250 0.432
2 Cs 0.811 0.750 0.568
3 Ce 0.285 0.250 0.961
4 Ce 0.715 0.750 0.039
5 Al 0.253 0.750 0.152
6 Al 0.747 0.250 0.848
7 O 0.023 0.750 0.943
8 O 0.055 0.750 0.275
9 O 0.460 0.525 0.160
10 O 0.460 0.975 0.160
11 O 0.540 0.025 0.840
12 O 0.540 0.475 0.840
13 O 0.945 0.250 0.725
14 O 0.977 0.250 0.057

Properties
Its crystal system is monoclinic. As for the uncorrected formation energy: -2.78 eV per atom. The total energy comes out at -99.61 eV for the cell shown. As for the space group: No. 11.



Record 9
First-principles (PBE-GGA) data for GaTcNi2H after structural relaxation, as listed in Alexandria via LeMat-Bulk.

Unit cell a=3.648 b=3.648 c=3.974 alpha=90.00 beta=90.00 gamma=90.00
Sites, in units of the cell vectors:
1 Ga 0.000 0.000 0.000
2 Tc 0.500 0.500 0.000
3 Ni 0.000 0.500 0.500
4 Ni 0.500 0.000 0.500
5 H 0.500 0.500 0.500

Properties
Its crystal system is tetragonal. The total energy comes out at -28.84 eV for the cell shown. As for the space group: No. 123.



Record 10
First-principles (PBE-GGA) data for MgMoPb2 after structural relaxation, as listed in Alexandria via LeMat-Bulk.

Unit cell a=7.448 b=7.448 c=7.448 alpha=156.18 beta=142.69 gamma=44.75
Sites, in units of the cell vectors:
1 Mg 0.000 0.000 0.000
2 Mo 0.181 0.681 0.500
3 Pb 0.373 0.373 0.000
4 Pb 0.672 0.172 0.500

Properties
Its crystal system is orthorhombic. The total energy comes out at -18.21 eV for the cell shown. As for the space group: No. 44. Its energy of formation from the pure elements is 0.41 eV per atom.



Record 11
First-principles (PBE-GGA) data for LiMgNbTc after structural relaxation, as listed in Alexandria via LeMat-Bulk.

Unit cell a=2.872 b=2.872 c=9.409 alpha=93.71 beta=93.71 gamma=67.67
Sites, in units of the cell vectors:
1 Li 0.000 0.000 0.000
2 Mg 0.495 0.495 0.726
3 Nb 0.512 0.512 0.267
4 Tc 0.044 0.044 0.483

Properties
Its crystal system is monoclinic. The energy above the most stable polymorph in this dataset comes out at 29 meV per atom. The total energy comes out at -23.45 eV for the cell shown. As for the space group: No. 8. Its energy of formation from the pure elements is 0.12 eV per atom.



Record 12
First-principles (PBE-GGA) data for LiTlC2 after structural relaxation, as listed in Alexandria via LeMat-Bulk.

Unit cell a=4.160 b=4.160 c=4.160 alpha=60.00 beta=60.00 gamma=60.00
Sites, in units of the cell vectors:
1 Li 0.000 0.000 0.000
2 Tl 0.500 0.500 0.500
3 C 0.250 0.250 0.250
4 C 0.750 0.750 0.750

Properties
Its crystal system is cubic. The energy above the most stable polymorph in this dataset comes out at 0 meV per atom. The total energy comes out at -14.70 eV for the cell shown. As for the space group: No. 225. Its energy of formation from the pure elements is 2.01 eV per atom.